[1]
Entry from the Alexandria database: a relaxed structure of SrLi2Pd2 (PBE).

Cell lengths 7.689, 7.689, 3.103 Å; angles 90.00, 90.00, 90.00 degrees
Positions (direct):
Pd 0.175 0.675 0.500
Sr 0.000 0.000 0.000
Li 0.116 0.384 0.000
Pd 0.825 0.325 0.500
Li 0.384 0.884 0.000
Pd 0.325 0.175 0.500
Sr 0.500 0.500 0.000
Li 0.884 0.616 0.000
Pd 0.675 0.825 0.500
Li 0.616 0.116 0.000

Calculated values
Space-group type: P4/mbm (127)
Crystal system: tetragonal
Distance to the lowest polymorph of the same formula in meV/atom: 52
Calculated formation energy in eV/atom: -0.38

[2]
Entry from the Alexandria database: a relaxed structure of Sr2PmBr6 (PBE).

Cell lengths 7.327, 7.327, 13.008 Å; angles 90.00, 90.00, 90.00 degrees
Positions (direct):
Br 0.710 0.710 0.000
Br 0.794 0.206 0.842
Sr 0.000 0.000 0.324
Pm 0.000 0.000 0.000
Br 0.290 0.290 0.000
Br 0.294 0.294 0.658
Br 0.794 0.206 0.158
Br 0.294 0.294 0.342
Br 0.206 0.794 0.158
Br 0.210 0.790 0.500
Sr 0.500 0.500 0.824
Br 0.206 0.794 0.842
Br 0.706 0.706 0.342
Br 0.790 0.210 0.500
Br 0.706 0.706 0.658
Sr 0.000 0.000 0.676
Sr 0.500 0.500 0.176
Pm 0.500 0.500 0.500

Calculated values
Space-group type: P4_2/mnm (136)
Crystal system: tetragonal
Formation energy without anion corrections in eV per atom: -1.87

[3]
Entry from the Alexandria database: a relaxed structure of Rb2HCl (PBE).

Cell lengths 4.513, 4.513, 7.864 Å; angles 73.32, 73.32, 60.00 degrees
Positions (direct):
Rb 0.257 0.257 0.228
H 0.000 0.000 0.000
Cl 0.500 0.500 0.500
Rb 0.743 0.743 0.772

Calculated values
Space-group type: R-3m (166)
Crystal system: trigonal
Distance to the lowest polymorph of the same formula in meV/atom: 0